The following is a PBE calculation of a relaxed Zn2FeBr crystal, from the Alexandria database.

Summary:
D(E_F) (states/eV/cell): 2.9
Electronic total energy (eV per atom): -2.53
Raw formation energy (eV per atom): 0.64

Cell lengths 4.670, 4.670, 4.670 Å; angles 60.00, 60.00, 60.00 degrees
Element x y z (fractional)
Zn  0.000  0.000  0.000
Zn  0.250  0.250  0.250
Fe  0.750  0.750  0.750
Br  0.500  0.500  0.500